P.
5
Lattice="5.2244 0.0000 0.0000 0.0000 5.2244 0.0000 0.0000 0.0000 5.2244" Properties=species:S:1:pos:R:3 comment="BaHf3Ti | Alexandria via LeMat-Bulk | GGA-PBE | optimized geometry" vol_a3_per_cell=142.60 dos_at_fermi_per_ev_fu=8.06 sg="No. 221" magnetic_moment_mub_per_cell=1.53 pbc="T T T"
Hf 0.0000 0.0000 2.6122
Hf 0.0000 2.6122 0.0000
Hf 2.6122 0.0000 0.0000
Ti 2.6122 2.6122 2.6122
Ba 0.0000 0.0000 0.0000

---

Q.
5
Lattice="5.2033 0.0000 0.0000 0.0000 5.2033 0.0000 0.0000 0.0000 5.2033" Properties=species:S:1:pos:R:3 comment="BaHf3Ti | Alexandria via LeMat-Bulk | GGA-PBE | optimized geometry" vol_a3_per_cell=140.88 dos_at_fermi_per_ev_fu=7.75 sg="No. 221" magnetic_moment_mub_per_cell=0.00 pbc="T T T"
Hf 0.0000 2.6016 0.0000
Hf 0.0000 0.0000 2.6016
Hf 2.6016 0.0000 0.0000
Ti 0.0000 0.0000 0.0000
Ba 2.6016 2.6016 2.6016

---

From most stable to least stable, the computed energies give Q, P.

---

P.
4
Lattice="0.0000 3.6829 3.6829 3.6829 0.0000 3.6829 3.6829 3.6829 0.0000" Properties=species:S:1:pos:R:3 comment="BaHf2Ti | Alexandria via LeMat-Bulk | GGA-PBE | optimized geometry" vol_a3_per_cell=99.91 dos_at_fermi_per_ev_fu=7.61 sg="No. 225" magnetic_moment_mub_per_cell=0.64 pbc="T T T"
Hf 1.8415 1.8415 1.8415
Hf 5.5244 5.5244 5.5244
Ba 3.6829 3.6829 3.6829
Ti 0.0000 0.0000 0.0000

---

Q.
8
Lattice="-2.3595 -4.8262 -0.3066 4.6693 -2.1849 -1.5417 3.4892 -5.2532 8.6223" Properties=species:S:1:pos:R:3 comment="BaHf2Ti | Alexandria via LeMat-Bulk | GGA-PBE | optimized geometry" vol_a3_per_cell=289.01 dos_at_fermi_per_ev_fu=6.57 sg="No. 141" magnetic_moment_mub_per_cell=3.00 pbc="T T T"
Hf 4.6506 -7.1154 5.3881
Hf 3.4705 -9.5283 5.2349
Hf 2.9057 -4.4889 1.0770
Hf 0.5712 -3.3960 1.8479
Ba 0.0000 0.0000 0.0000
Ba 1.1423 -6.7925 3.6958
Ti 4.6567 -5.4718 3.0782
Ti 1.1549 -3.5056 -0.9242

---

From most stable to least stable, the computed energies give P, Q.

---

P.
4
Lattice="0.0000 3.6481 3.6481 3.6481 0.0000 3.6481 3.6481 3.6481 0.0000" Properties=species:S:1:pos:R:3 comment="BaHf2V | Alexandria via LeMat-Bulk | GGA-PBE | optimized geometry" vol_a3_per_cell=97.10 dos_at_fermi_per_ev_fu=7.11 sg="No. 225" magnetic_moment_mub_per_cell=2.89 pbc="T T T"
Hf 1.8240 1.8240 1.8240
Hf 5.4721 5.4721 5.4721
Ba 3.6481 3.6481 3.6481
V 0.0000 0.0000 0.0000

---

Q.
8
Lattice="7.4929 0.0000 0.0000 0.0000 7.4929 0.0000 3.7464 3.7464 5.2987" Properties=species:S:1:pos:R:3 comment="BaHf2V | Alexandria via LeMat-Bulk | GGA-PBE | optimized geometry" vol_a3_per_cell=297.48 dos_at_fermi_per_ev_fu=4.20 sg="No. 227" magnetic_moment_mub_per_cell=0.00 pbc="T T T"
V 3.7464 7.4929 2.6493
V 3.7464 3.7464 0.0000
Hf 5.6197 7.4929 3.9740
Hf 3.7464 5.6197 1.3247
Hf 3.7464 1.8732 1.3247
Hf 9.3661 7.4929 3.9740
Ba 7.4929 3.7464 2.6493
Ba 0.0000 0.0000 0.0000

---

From most stable to least stable, the computed energies give P, Q.